The following is a GGA-PBE calculation of a relaxed structure of SrTl6Pd4, from OQMD via LeMat-Bulk.

Results
DFT total energy (eV for the cell shown): -79.09

Geometry as CIF:
```
data_SrTl6Pd4
_space_group_name_H-M_alt 'I -4 2 m'
_space_group_IT_number 121
_space_group_name_Hall 'I -4 2'
_cell_length_a 7.241
_cell_length_b 7.241
_cell_length_c 10.350
_cell_angle_alpha 90.00
_cell_angle_beta 90.00
_cell_angle_gamma 90.00
loop_
_atom_site_label
_atom_site_type_symbol
_atom_site_fract_x
_atom_site_fract_y
_atom_site_fract_z
Sr1 Sr 0.000 0.000 0.000
Tl1 Tl 0.000 0.500 0.000
Tl2 Tl 0.178 0.178 0.708
Pd1 Pd 0.171 0.171 0.428
```

***

The following is a GGA-PBE calculation of a relaxed structure of SrTmPd, from OQMD via LeMat-Bulk.

Results
DFT total energy (eV for the cell shown): -49.21

Geometry as CIF:
```
data_SrTmPd
_space_group_name_H-M_alt 'F -4 3 m'
_space_group_IT_number 216
_space_group_name_Hall 'F -4 2 3'
_cell_length_a 7.093
_cell_length_b 7.093
_cell_length_c 7.093
_cell_angle_alpha 90.00
_cell_angle_beta 90.00
_cell_angle_gamma 90.00
loop_
_atom_site_label
_atom_site_type_symbol
_atom_site_fract_x
_atom_site_fract_y
_atom_site_fract_z
Sr1 Sr 0.000 0.000 0.000
Tm1 Tm 0.000 0.000 0.500
Pd1 Pd 0.250 0.250 0.250
```

***

The following is a GGA-PBE calculation of a relaxed structure of Sr2Pd2W3, from OQMD via LeMat-Bulk.

Results
DFT total energy (eV for the cell shown): -149.01

Geometry as CIF:
```
data_Sr2Pd2W3
_space_group_name_H-M_alt 'R 3 m'
_space_group_IT_number 160
_space_group_name_Hall 'R 3 -2"'
_cell_length_a 4.5815
_cell_length_b 4.5815
_cell_length_c 25.6378
_cell_angle_alpha 90.00
_cell_angle_beta 90.00
_cell_angle_gamma 120.00
loop_
_atom_site_label
_atom_site_type_symbol
_atom_site_fract_x
_atom_site_fract_y
_atom_site_fract_z
Sr1 Sr 0.0000 0.0000 0.0000
Sr2 Sr 0.0000 0.0000 0.4355
Pd1 Pd 0.0000 0.0000 0.1611
Pd2 Pd 0.0000 0.0000 0.6908
W1 W 0.0000 0.0000 0.2598
W2 W 0.0000 0.0000 0.5707
W3 W 0.0000 0.0000 0.8756
```

***

> Among the records above, which one has the lowest DFT total energy?

Sr2Pd2W3